A relaxed ZrCrIn2Si crystal, computed with PBE.

Properties
Energy relative to the lowest polymorph listed for this composition   0.000 eV/atom

POSCAR file:
```
ZrCrIn2Si
1.0
-0.664 -4.193 -2.639
-1.650 -1.970 3.544
-4.582 1.532 -1.282
In Si Zr Cr
2 1 1 1
Direct
0.000 0.000 0.500 In
0.500 0.000 0.000 In
0.000 0.000 0.000 Si
0.500 0.500 0.500 Zr
0.000 0.500 0.000 Cr
```



A relaxed Cr3InSn crystal, computed with PBE.

Properties
Energy of formation   6.196 eV per formula unit
Energy relative to the lowest polymorph listed for this composition   0.000 eV/atom

POSCAR file:
```
Cr3InSn
1.0
-4.503 -0.884 -2.309
0.765 -5.060 0.445
-2.351 0.046 4.567
Cr Sn In
3 1 1
Direct
0.500 0.000 0.000 Cr
0.000 0.000 0.500 Cr
0.000 0.500 0.000 Cr
0.000 0.000 0.000 Sn
0.500 0.500 0.500 In
```